The following is a GGA-PBE calculation of a relaxed structure of PrHoAlRh, from Alexandria.

Lattice parameters (Å, degrees): 5.084 5.084 5.084 60.00 60.00 60.00
Atoms (fractional coordinates):
Pr 0.750 0.750 0.750
Al 0.500 0.500 0.500
Ho 0.250 0.250 0.250
Rh 0.000 0.000 0.000

Output
DFT formation energy = -0.46 eV/atom
Symmetry = F-43m, No. 216
Calculated total energy = -5.570 eV per atom
Total magnetic moment = 0.00 Bohr magnetons per cell
Density = 7.78 g cm⁻³